This record from Alexandria via LeMat-Bulk describes CeEr2TmRu4 after structural relaxation. The functional is PBE-GGA.

```
CeEr2TmRu4
1.0
4.8126 0.0000 0.0000
2.4063 4.1679 0.0000
2.4063 1.3893 7.7287
Ce Er Tm Ru
1 2 1 4
direct
0.5000 0.5000 0.5000
0.7469 0.7469 0.7593
0.2531 0.2531 0.2407
0.0000 0.0000 0.0000
0.3786 0.3786 0.8642
0.8730 0.8730 0.3811
0.1270 0.1270 0.6189
0.6214 0.6214 0.1358
```

Spin magnetization: 0.00 Bohr magnetons per cell
Energy: -60.2 eV per cell
Symmetry: R-3m
ΔE_f: -0.44 eV/atom
Density of states at the Fermi level: 0.5968 states/eV/atom